one) Below is a geometry-optimized Mg2BiPd8 structure, with properties calculated at the PBE-GGA level.

Values from the calculation:
SG: C2/m (12)

a = 4.1371 Å, b = 6.2928 Å, c = 7.4828 Å
α = 104.19°, β = 106.05°, γ = 90.00°
Last column: nearest neighbours and their distance in Å.
Fractional positions:
Mg 0.2211 0.6538 0.4421  10 Pd 2.71-2.91
Pd 0.3192 0.0835 0.6385  3 Mg 2.71-2.80, 8 Pd 2.75-2.91, 1 Bi 2.78
Pd 0.1493 0.2065 0.2986  3 Mg 2.74-2.77, 7 Pd 2.75-3.03, 2 Bi 3.03
Pd 0.6808 0.9165 0.3615  3 Mg 2.71-2.80, 8 Pd 2.75-2.91, 1 Bi 2.78
Pd 0.0423 0.7245 0.0846  1 Mg 2.72, 9 Pd 2.78-3.03, 2 Bi 2.86
Pd 0.9577 0.2755 0.9154  1 Mg 2.72, 9 Pd 2.78-3.03, 2 Bi 2.86
Pd 0.4040 0.5354 0.8080  8 Pd 2.79-2.91, 3 Mg 2.80-2.91, 1 Bi 2.90
Bi 0.5000 0.0000 0.0000  12 Pd 2.78-3.03
Pd 0.5960 0.4646 0.1920  8 Pd 2.79-2.91, 3 Mg 2.80-2.91, 1 Bi 2.90
Mg 0.7789 0.3462 0.5579  10 Pd 2.71-2.91
Pd 0.8507 0.7935 0.7014  3 Mg 2.74-2.77, 7 Pd 2.75-3.03, 2 Bi 3.03



two) Below is a geometry-optimized Mg2BiPd8 structure, with properties calculated at the PBE-GGA level.

Values from the calculation:
SG: Immm (71)

a = 4.5697 Å, b = 5.9733 Å, c = 7.8597 Å
α = 112.33°, β = 106.90°, γ = 90.00°
Last column: nearest neighbours and their distance in Å.
Fractional positions:
Pd 0.0000 0.2710 0.0000  3 Pd 2.74-2.89, 2 Bi 2.80, 2 Mg 2.89
Bi 0.5000 0.0000 0.0000  8 Pd 2.65-2.80
Mg 0.1848 0.6848 0.3696  12 Pd 2.71-3.01
Pd 0.6538 0.8868 0.3075  1 Bi 2.65, 3 Mg 2.71-2.74, 4 Pd 2.76-2.80
Pd 0.3462 0.1132 0.6925  1 Bi 2.65, 3 Mg 2.71-2.74, 4 Pd 2.76-2.80
Mg 0.8152 0.3152 0.6304  12 Pd 2.71-3.01
Pd 0.8264 0.8263 0.6527  8 Pd 2.76-2.89, 4 Mg 2.99-3.01
Pd 0.0000 0.7290 0.0000  3 Pd 2.74-2.89, 2 Bi 2.80, 2 Mg 2.89
Pd 0.1736 0.1737 0.3473  8 Pd 2.76-2.89, 4 Mg 2.99-3.01
Pd 0.3462 0.5793 0.6925  1 Bi 2.65, 3 Mg 2.71-2.74, 4 Pd 2.76-2.80
Pd 0.6538 0.4207 0.3075  1 Bi 2.65, 3 Mg 2.71-2.74, 4 Pd 2.76-2.80



Name the most stable of them. one).



one) Below is a geometry-optimized MgBiPd6 structure, with properties calculated at the PBE-GGA level.

Values from the calculation:
SG: P4/mmm (123)

a = 4.0707 Å, b = 5.7131 Å, c = 5.7131 Å
α = 89.99°, β = 90.00°, γ = 90.00°
Last column: nearest neighbours and their distance in Å.
Fractional positions:
Pd 0.0000 0.7562 0.7562  8 Pd 2.78-2.93, 2 Mg 2.83, 2 Bi 2.90
Pd 0.0000 0.2437 0.7563  8 Pd 2.78-2.93, 2 Mg 2.83, 2 Bi 2.90
Pd 0.0000 0.2438 0.2438  8 Pd 2.78-2.93, 2 Mg 2.83, 2 Bi 2.90
Pd 0.0000 0.7563 0.2437  8 Pd 2.78-2.93, 2 Mg 2.83, 2 Bi 2.90
Pd 0.5000 0.0000 0.5000  2 Mg 2.86, 2 Bi 2.86, 8 Pd 2.87
Bi 0.5000 0.5000 0.5000  12 Pd 2.86-2.90
Mg 0.5000 0.0000 0.0000  12 Pd 2.83-2.86
Pd 0.5000 0.5000 0.0000  2 Bi 2.86, 2 Mg 2.86, 8 Pd 2.87



two) Below is a geometry-optimized MgBiPd6 structure, with properties calculated at the PBE-GGA level.

Values from the calculation:
SG: C2/m (12)

a = 4.7779 Å, b = 4.7779 Å, c = 7.3680 Å
α = 74.81°, β = 74.81°, γ = 69.72°
Last column: nearest neighbours and their distance in Å.
Fractional positions:
Pd 0.4557 0.9381 0.7074  1 Mg 2.63, 5 Pd 2.63-2.90, 2 Bi 2.77-2.82
Mg 0.0000 0.0000 0.0000  6 Pd 2.63-2.70
Bi 0.5000 0.5000 0.5000  10 Pd 2.77-3.04
Pd 0.0619 0.5443 0.2926  1 Mg 2.63, 5 Pd 2.63-2.90, 2 Bi 2.77-2.82
Pd 0.5443 0.0619 0.2926  1 Mg 2.63, 5 Pd 2.63-2.90, 2 Bi 2.77-2.82
Pd 0.9381 0.4557 0.7074  1 Mg 2.63, 5 Pd 2.63-2.90, 2 Bi 2.77-2.82
Pd 0.3584 0.3584 0.9354  7 Pd 2.68-2.96, 1 Mg 2.70
Pd 0.6416 0.6416 0.0646  7 Pd 2.68-2.96, 1 Mg 2.70



Name the most stable of them. one).



one) Below is a geometry-optimized Pm2MgBi structure, with properties calculated at the PBE-GGA level.

Values from the calculation:
SG: P4/mmm (123)

a = 4.1448 Å, b = 4.1448 Å, c = 6.8839 Å
α = 90.00°, β = 90.00°, γ = 90.00°
Last column: nearest neighbours and their distance in Å.
Fractional positions:
Pm 0.0000 0.0000 0.2536  4 Bi 3.39, 2 Pm 3.39-3.49, 4 Mg 3.41
Pm 0.0000 0.0000 0.7464  4 Bi 3.39, 2 Pm 3.39-3.49, 4 Mg 3.41
Mg 0.5000 0.5000 0.0000  8 Pm 3.41, 2 Bi 3.44
Bi 0.5000 0.5000 0.5000  8 Pm 3.39, 2 Mg 3.44



two) Below is a geometry-optimized Pm2MgBi structure, with properties calculated at the PBE-GGA level.

Values from the calculation:
SG: Fm-3m (225)

a = 5.5189 Å, b = 5.5189 Å, c = 5.5189 Å
α = 60.00°, β = 60.00°, γ = 60.00°
Last column: nearest neighbours and their distance in Å.
Fractional positions:
Pm 0.7500 0.7500 0.7500  4 Bi 3.38, 4 Mg 3.38
Mg 0.5000 0.5000 0.5000  8 Pm 3.38
Pm 0.2500 0.2500 0.2500  4 Bi 3.38, 4 Mg 3.38
Bi 0.0000 0.0000 0.0000  8 Pm 3.38



Name the most stable of them. one).



one) Below is a geometry-optimized Pm2MgBi structure, with properties calculated at the PBE-GGA level.

Values from the calculation:
SG: R-3m (166)

a = 4.1250 Å, b = 4.1250 Å, c = 11.1356 Å
α = 79.33°, β = 79.33°, γ = 60.00°
Last column: nearest neighbours and their distance in Å.
Fractional positions:
Bi 0.5000 0.5000 0.5000  6 Pm 3.12
Mg 0.0000 0.0000 0.0000  2 Pm 3.42
Pm 0.1047 0.1047 0.6858  3 Bi 3.12, 1 Mg 3.42
Pm 0.8953 0.8953 0.3142  3 Bi 3.12, 1 Mg 3.42



two) Below is a geometry-optimized Pm2MgBi structure, with properties calculated at the PBE-GGA level.

Values from the calculation:
SG: P4/mmm (123)

a = 4.4822 Å, b = 5.1076 Å, c = 5.1076 Å
α = 90.00°, β = 90.00°, γ = 90.00°
Last column: nearest neighbours and their distance in Å.
Fractional positions:
Pm 0.0000 0.0000 0.5000  4 Bi 3.40, 4 Mg 3.40, 4 Pm 3.61
Bi 0.5000 0.5000 0.5000  8 Pm 3.40, 4 Mg 3.61
Mg 0.5000 0.0000 0.0000  8 Pm 3.40, 4 Bi 3.61
Pm 0.0000 0.5000 0.0000  4 Bi 3.40, 4 Mg 3.40, 4 Pm 3.61



Name the most stable of them. two).



one) Below is a geometry-optimized PmMgBi2 structure, with properties calculated at the PBE-GGA level.

Values from the calculation:
SG: P4/nmm (129)

a = 4.5857 Å, b = 4.5857 Å, c = 11.0775 Å
α = 90.00°, β = 90.00°, γ = 90.00°
Last column: nearest neighbours and their distance in Å.
Fractional positions:
Mg 0.5000 0.5000 0.0000  4 Bi 3.09, 4 Mg 3.24
Pm 0.0000 0.5000 0.2761  8 Bi 3.38-3.39
Bi 0.0000 0.5000 0.8137  4 Mg 3.09, 4 Pm 3.39
Pm 0.5000 0.0000 0.7239  8 Bi 3.38-3.39
Bi 0.0000 0.0000 0.5000  4 Bi 3.24, 4 Pm 3.38
Bi 0.5000 0.0000 0.1863  4 Mg 3.09, 4 Pm 3.39
Mg 0.0000 0.0000 0.0000  4 Bi 3.09, 4 Mg 3.24
Bi 0.5000 0.5000 0.5000  4 Bi 3.24, 4 Pm 3.38



two) Below is a geometry-optimized PmMgBi2 structure, with properties calculated at the PBE-GGA level.

Values from the calculation:
SG: P4/mmm (123)

a = 4.1123 Å, b = 4.1123 Å, c = 6.9017 Å
α = 90.00°, β = 90.00°, γ = 90.00°
Last column: nearest neighbours and their distance in Å.
Fractional positions:
Mg 0.5000 0.5000 0.0000  8 Bi 3.37, 2 Pm 3.45
Bi 0.0000 0.0000 0.2472  4 Mg 3.37, 4 Pm 3.39, 2 Bi 3.41-3.49
Pm 0.5000 0.5000 0.5000  8 Bi 3.39, 2 Mg 3.45
Bi 0.0000 0.0000 0.7528  4 Mg 3.37, 4 Pm 3.39, 2 Bi 3.41-3.49



Name the most stable of them. one).



one) Below is a geometry-optimized Pm3MgBi2 structure, with properties calculated at the PBE-GGA level.

Values from the calculation:
SG: C2/c (15)

a = 6.4313 Å, b = 9.1527 Å, c = 7.9566 Å
α = 106.71°, β = 113.84°, γ = 90.00°
Last column: nearest neighbours and their distance in Å.
Fractional positions:
Pm 0.8192 0.4096 0.6383  4 Bi 3.15-3.23, 2 Mg 3.39
Pm 0.1808 0.0904 0.3617  4 Bi 3.15-3.23, 2 Mg 3.39
Bi 0.3380 0.4188 0.6759  6 Pm 3.15-3.23
Bi 0.6620 0.5812 0.3241  6 Pm 3.15-3.23
Bi 0.6621 0.0812 0.3241  6 Pm 3.15-3.23
Bi 0.3379 0.9188 0.6759  6 Pm 3.15-3.23
Pm 0.8192 0.9096 0.6383  4 Bi 3.15-3.23, 2 Mg 3.39
Pm 0.5048 0.2500 0.0000  4 Bi 3.20, 2 Mg 3.21-3.22
Mg 0.0053 0.2500 0.0000  6 Pm 3.21-3.39
Mg 0.9947 0.7500 0.0000  6 Pm 3.21-3.39
Pm 0.4952 0.7500 0.0000  4 Bi 3.20, 2 Mg 3.21-3.22
Pm 0.1808 0.5904 0.3617  4 Bi 3.15-3.23, 2 Mg 3.39



two) Below is a geometry-optimized Pm3MgBi2 structure, with properties calculated at the PBE-GGA level.

Values from the calculation:
SG: P-4m2 (115)

a = 4.5751 Å, b = 4.5751 Å, c = 8.8717 Å
α = 90.00°, β = 90.00°, γ = 90.00°
Last column: nearest neighbours and their distance in Å.
Fractional positions:
Bi 0.5000 0.0000 0.7169  7 Pm 3.28-3.40, 2 Mg 3.40
Pm 0.0000 0.0000 0.0000  4 Mg 3.24, 4 Bi 3.40
Mg 0.5000 0.5000 0.0000  4 Pm 3.24, 4 Bi 3.40
Pm 0.0000 0.5000 0.6540  5 Bi 3.28-3.29
Pm 0.5000 0.0000 0.3460  5 Bi 3.28-3.29
Bi 0.0000 0.5000 0.2831  7 Pm 3.28-3.40, 2 Mg 3.40



Name the most stable of them. two).